# 1
Here is a geometry-optimized TbBiSe3 structure from the Alexandria database. Energies are from GGA-PBE.

Results
Energy, eV per atom: -4.81
Uncorrected formation energy, meV per atom: -1016
Energy relative to the lowest polymorph listed for this composition, eV per formula unit: 0.51
Space-group type: P-6c2 (188)
Calculated density, Mg/m³: 6.4

```
TbBiSe3
1.0
7.073 0.000 0.000
-3.537 6.126 0.000
0.000 0.000 7.236
Tb Bi Se
2 2 6
Direct
0.000 0.000 0.000
0.000 0.000 0.500
0.667 0.333 0.000
0.667 0.333 0.500
0.325 0.006 0.250
0.325 0.319 0.750
0.681 0.006 0.750
0.681 0.675 0.250
0.994 0.319 0.250
0.994 0.675 0.750
```

***

# 2
Here is a geometry-optimized K4Hg2Sb structure from the Alexandria database. Energies are from GGA-PBE.

Results
Energy, eV per atom: -1.50
Uncorrected formation energy, meV per atom: -199
Space-group type: I4/mmm (139)
Calculated density, Mg/m³: 2.9

```
K4Hg2Sb
1.0
-3.387 3.387 8.456
3.387 -3.387 8.456
3.387 3.387 -8.456
K Hg Sb
4 2 1
Direct
0.000 0.500 0.500
0.197 0.197 0.000
0.500 0.000 0.500
0.803 0.803 0.000
0.408 0.408 0.000
0.592 0.592 0.000
0.000 0.000 0.000
```

***

# 3
Here is a geometry-optimized CdBrCl4 structure from the Alexandria database. Energies are from GGA-PBE.

Results
Energy, eV per atom: -1.24
Uncorrected formation energy, meV per atom: 425
Space-group type: F-43m (216)
Calculated density, Mg/m³: 3.9

```
CdBrCl4
1.0
0.000 4.134 4.134
4.134 0.000 4.134
4.134 4.134 0.000
Cd Br Cl
1 1 4
Direct
0.000 0.000 0.000
0.250 0.250 0.250
0.124 0.625 0.625
0.625 0.124 0.625
0.625 0.625 0.124
0.625 0.625 0.625
```

***

Q: What is the formula in the second record?
A: K4Hg2Sb